(1)
PuTiIrO6 | GGA-PBE | relaxed

Properties
Its formation energy from raw total energies is -2.10 eV/atom. For the total energy, the calculation gives -159.45 eV per cell.

Cell and atoms, written as CIF:
```
data_PuTiIrO6
_chemical_formula_sum 'Pu2 Ti2 Ir2 O12'
_symmetry_space_group_name_H-M 'P -3 1 c'
_symmetry_Int_Tables_number 163
_symmetry_space_group_name_Hall '-P 3 2c'
_cell_length_a 5.3212
_cell_length_b 5.3212
_cell_length_c 8.5912
_cell_angle_alpha 90.00
_cell_angle_beta 90.00
_cell_angle_gamma 120.00
loop_
_atom_site_label
_atom_site_type_symbol
_atom_site_fract_x
_atom_site_fract_y
_atom_site_fract_z
Pu1 Pu 0.3333 0.6667 0.2500
Ti1 Ti 0.3333 0.6667 0.7500
Ir1 Ir 0.0000 0.0000 0.0000
O1 O 0.0256 0.3410 0.6257
```

(2)
Tl2CuP | GGA-PBE | relaxed

Properties
As for the distance to the lowest polymorph of the same formula: 403 meV/atom. The formation energy comes out at 0.37 eV/atom. For the total energy, the calculation gives -25.54 eV per cell.

Cell and atoms, written as CIF:
```
data_Tl2CuP
_chemical_formula_sum 'Tl4 Cu2 P2'
_symmetry_space_group_name_H-M 'C 1 2/m 1'
_symmetry_Int_Tables_number 12
_cell_length_a 7.0643
_cell_length_b 4.0186
_cell_length_c 6.7870
_cell_angle_alpha 90.00
_cell_angle_beta 109.46
_cell_angle_gamma 90.00
loop_
_symmetry_equiv_pos_as_xyz
'x,y,z'
'-x,-y,-z'
'-x,y,-z'
'x,-y,z'
'x+1/2,y+1/2,z'
'-x+1/2,-y+1/2,-z'
'-x+1/2,y+1/2,-z'
'x+1/2,-y+1/2,z'
loop_
_atom_site_label
_atom_site_type_symbol
_atom_site_fract_x
_atom_site_fract_y
_atom_site_fract_z
Tl1 Tl 0.2491 0.0000 0.2490
Cu1 Cu 0.0000 0.0000 0.5000
P1 P 0.0000 0.5000 0.0000
```

(3)
Sm7Pd2Pt2 | GGA-PBE | relaxed

Properties
As for the distance to the lowest polymorph of the same formula: 0 meV/atom. The formation energy comes out at -0.74 eV/atom. For the total energy, the calculation gives -127.18 eV per cell.

Cell and atoms, written as CIF:
```
data_Sm7Pd2Pt2
_chemical_formula_sum 'Sm14 Pd4 Pt4'
_symmetry_space_group_name_H-M 'I m m 2'
_symmetry_Int_Tables_number 44
_cell_length_a 3.9122
_cell_length_b 15.7396
_cell_length_c 9.6950
_cell_angle_alpha 90.00
_cell_angle_beta 90.00
_cell_angle_gamma 90.00
loop_
_symmetry_equiv_pos_as_xyz
'x,y,z'
'-x,-y,z'
'-x,y,z'
'x,-y,z'
'x+1/2,y+1/2,z+1/2'
'-x+1/2,-y+1/2,z+1/2'
'-x+1/2,y+1/2,z+1/2'
'x+1/2,-y+1/2,z+1/2'
loop_
_atom_site_label
_atom_site_type_symbol
_atom_site_fract_x
_atom_site_fract_y
_atom_site_fract_z
Sm1 Sm 0.0000 0.0000 0.0000
Sm2 Sm 0.0000 0.1158 0.3795
Sm3 Sm 0.0000 0.3094 0.5879
Sm4 Sm 0.0000 0.3770 0.2318
Pd1 Pd 0.0000 0.0000 0.6249
Pd2 Pd 0.0000 0.5000 0.7264
Pt1 Pt 0.0000 0.2393 0.8808
```

(4)
La5CeP6 | GGA-PBE | relaxed

Properties
The formation energy comes out at -1.57 eV/atom. For the total energy, the calculation gives -163.63 eV per cell.

Cell and atoms, written as CIF:
```
data_La5CeP6
_chemical_formula_sum 'La10 Ce2 P12'
_symmetry_space_group_name_H-M 'C 1 2/m 1'
_symmetry_Int_Tables_number 12
_cell_length_a 7.3504
_cell_length_b 12.7297
_cell_length_c 7.3509
_cell_angle_alpha 90.00
_cell_angle_beta 109.48
_cell_angle_gamma 90.00
loop_
_symmetry_equiv_pos_as_xyz
'x,y,z'
'-x,-y,-z'
'-x,y,-z'
'x,-y,z'
'x+1/2,y+1/2,z'
'-x+1/2,-y+1/2,-z'
'-x+1/2,y+1/2,-z'
'x+1/2,-y+1/2,z'
loop_
_atom_site_label
_atom_site_type_symbol
_atom_site_fract_x
_atom_site_fract_y
_atom_site_fract_z
La1 La 0.0000 0.0000 0.0000
La2 La 0.0000 0.1664 0.5000
La3 La 0.0000 0.3325 0.0000
Ce1 Ce 0.0000 0.5000 0.5000
P1 P 0.2429 0.5000 0.2550
P2 P 0.2441 0.3376 0.7453
```